A plane-wave DFT calculation with PBE with a Hubbard U was carried out for crystalline V4CuNiO12 at its relaxed geometry.

Values from the calculation:
* DFT total energy: -6.93 eV/atom

Cell and atoms, written as POSCAR:
```
V4CuNiO12
1.0
-0.7559 0.9096 5.8241
-6.5539 -0.7523 0.9189
1.4030 -6.4953 -0.4554
V O Cu Ni
4 12 1 1
Cartesian
-0.8925 -3.6809 2.7390
-4.6890 -3.1037 0.5992
-4.0926 -1.3601 3.4656
-2.1648 -4.5668 5.7737
-4.2144 -2.0305 5.1407
0.4518 -4.6614 3.0384
-1.5844 -4.1556 1.1372
-0.4107 -2.0758 2.6790
-6.7514 -1.1241 6.0041
0.0560 -6.3235 0.3544
-5.4785 -0.4383 3.1700
-3.5397 -5.5446 5.8999
-4.0191 -2.6493 2.1908
-2.0542 -3.9229 4.1118
-5.1630 -4.7273 0.6392
-2.7365 -0.3792 3.3603
-4.7148 -6.6340 0.4242
-0.7910 -0.1264 2.9492
```